1.
The following is a PBE calculation of an optimized crystal structure of Ho2MgAl3Ag4, from Alexandria via LeMat-Bulk.

DOS at the Fermi energy (states/eV per cell): 5.184
Formation energy from the elements (eV/atom): -0.270
SG: P-4m2
Uncorrected energy (eV/atom): -3.608

Cell lengths 4.2481, 4.2481, 11.4209 Å; angles 90.00, 90.00, 90.00 degrees
With the nearest neighbours (Å) after each atom.
Fractional coordinates of all 10 atoms:
Ag1 0.5000 0.0000 0.6466  3 Al 2.51-2.70, 2 Mg 2.70
Al1 0.0000 0.5000 0.1332  5 Ag 2.51-2.61
Ho1 0.0000 0.5000 0.7605  4 Al 3.24, 8 Ag 3.27-3.46
Ag2 0.0000 0.0000 0.0000  4 Al 2.61
Mg1 0.5000 0.5000 0.5000  4 Ag 2.70, 4 Al 3.00
Ag3 0.0000 0.5000 0.3534  3 Al 2.51-2.70, 2 Mg 2.70
Al2 0.5000 0.0000 0.8668  5 Ag 2.51-2.61
Al3 0.0000 0.0000 0.5000  4 Ag 2.70, 4 Mg 3.00
Ho2 0.5000 0.0000 0.2395  4 Al 3.24, 8 Ag 3.27-3.46
Ag4 0.5000 0.5000 0.0000  4 Al 2.61

=====

2.
The following is a PBE calculation of an optimized crystal structure of HoMgAl2Ag5, from Alexandria via LeMat-Bulk.

DOS at the Fermi energy (states/eV per cell): 2.974
Formation energy from the elements (eV/atom): -0.058
SG: P4/mmm
Uncorrected energy (eV/atom): -3.159

Cell lengths 4.7886, 4.7886, 7.9988 Å; angles 90.00, 90.00, 90.00 degrees
With the nearest neighbours (Å) after each atom.
Fractional coordinates of all 9 atoms:
Ho1 0.0000 0.0000 0.5000  8 Ag 3.01
Ag1 0.0000 0.5000 0.2717  2 Al 2.57
Ag2 0.0000 0.5000 0.7283  2 Al 2.57
Ag3 0.5000 0.0000 0.7283  2 Al 2.57
Mg1 0.0000 0.0000 0.0000  8 Ag 3.23, 8 Al 3.61
Al1 0.5000 0.5000 0.8435  1 Al 2.50, 5 Ag 2.57-2.75
Al2 0.5000 0.5000 0.1565  1 Al 2.50, 5 Ag 2.57-2.75
Ag4 0.5000 0.5000 0.5000  2 Al 2.75, 8 Ag 3.01
Ag5 0.5000 0.0000 0.2717  2 Al 2.57

=====

3.
The following is a PBE calculation of an optimized crystal structure of HoMgAlAg6, from Alexandria via LeMat-Bulk.

DOS at the Fermi energy (states/eV per cell): 8.241
Formation energy from the elements (eV/atom): 0.010
SG: Imma
Uncorrected energy (eV/atom): -2.992

Cell lengths 7.2812, 9.2889, 8.0965 Å; angles 125.00, 116.72, 90.00 degrees
With the nearest neighbours (Å) after each atom.
Fractional coordinates of all 18 atoms:
Ag1 0.4262 0.1762 0.8523  2 Al 2.46, 2 Mg 2.67
Ag2 0.5738 0.8238 0.1477  2 Al 2.46, 2 Mg 2.67
Mg1 0.5000 0.0000 0.5000  6 Ag 2.67-2.88
Ag3 0.0661 0.3919 0.7447  1 Al 2.65, 3 Ag 2.82-2.85, 1 Mg 2.88
Ag4 0.6786 0.8529 0.7447  1 Al 2.65, 3 Ag 2.82-2.85, 1 Mg 2.88
Mg2 0.0000 0.0000 0.5000  6 Ag 2.67-2.88
Ag5 0.6786 0.3919 0.7447  1 Al 2.65, 3 Ag 2.82-2.85, 1 Mg 2.88
Ho1 0.2924 0.5424 0.5848  10 Ag 3.12-3.39, 2 Al 3.27
Ag6 0.0661 0.8529 0.7447  1 Al 2.65, 3 Ag 2.82-2.85, 1 Mg 2.88
Al1 0.5000 0.5000 0.0000  6 Ag 2.46-2.65
Ag7 0.3214 0.6081 0.2553  1 Al 2.65, 3 Ag 2.82-2.85, 1 Mg 2.88
Ag8 0.9339 0.6081 0.2553  1 Al 2.65, 3 Ag 2.82-2.85, 1 Mg 2.88
Ag9 0.9339 0.1471 0.2553  1 Al 2.65, 3 Ag 2.82-2.85, 1 Mg 2.88
Al2 0.5000 0.0000 0.0000  6 Ag 2.46-2.65
Ho2 0.7076 0.4576 0.4152  10 Ag 3.12-3.39, 2 Al 3.27
Ag10 0.0136 0.7636 0.0271  8 Ag 3.00-3.14, 2 Mg 3.19
Ag11 0.9864 0.2364 0.9729  8 Ag 3.00-3.14, 2 Mg 3.19
Ag12 0.3214 0.1471 0.2553  1 Al 2.65, 3 Ag 2.82-2.85, 1 Mg 2.88

=====

4.
The following is a PBE calculation of an optimized crystal structure of HoPaAlAg, from Alexandria via LeMat-Bulk.

DOS at the Fermi energy (states/eV per cell): 7.155
Formation energy from the elements (eV/atom): 0.025
SG: F-43m
Uncorrected energy (eV/atom): -5.142

Cell lengths 5.1156, 5.1156, 5.1156 Å; angles 60.00, 60.00, 60.00 degrees
With the nearest neighbours (Å) after each atom.
Fractional coordinates of all 4 atoms:
Pa1 0.5000 0.5000 0.5000  4 Ag 3.13, 4 Al 3.13
Al1 0.7500 0.7500 0.7500  4 Ho 3.13, 4 Pa 3.13
Ag1 0.2500 0.2500 0.2500  4 Ho 3.13, 4 Pa 3.13
Ho1 0.0000 0.0000 0.0000  4 Al 3.13, 4 Ag 3.13

=====

5.
The following is a PBE calculation of an optimized crystal structure of Ho4AlAg2Pd, from Alexandria via LeMat-Bulk.

DOS at the Fermi energy (states/eV per cell): 5.941
Formation energy from the elements (eV/atom): -0.491
SG: R-3m
Uncorrected energy (eV/atom): -4.610

Cell lengths 5.0705, 5.0705, 8.7708 Å; angles 73.20, 73.20, 60.00 degrees
With the nearest neighbours (Å) after each atom.
Fractional coordinates of all 8 atoms:
Al1 0.0000 0.0000 0.0000  8 Ho 3.15-3.18, 6 Ag 3.48
Ho1 0.8718 0.8718 0.3847  3 Pd 3.08, 1 Al 3.18, 4 Ag 3.20
Ag1 0.2572 0.2572 0.2283  8 Ho 3.02-3.20
Ho2 0.1282 0.1282 0.6153  3 Pd 3.08, 1 Al 3.18, 4 Ag 3.20
Pd1 0.5000 0.5000 0.5000  8 Ho 2.98-3.08
Ho3 0.6203 0.6203 0.1391  1 Pd 2.98, 4 Ag 3.02-3.04, 3 Al 3.15
Ag2 0.7428 0.7428 0.7717  8 Ho 3.02-3.20
Ho4 0.3797 0.3797 0.8609  1 Pd 2.98, 4 Ag 3.02-3.04, 3 Al 3.15

=====

6.
The following is a PBE calculation of an optimized crystal structure of Ho2Al2AgPd5, from Alexandria via LeMat-Bulk.

DOS at the Fermi energy (states/eV per cell): 13.314
Formation energy from the elements (eV/atom): -0.691
SG: P4/mbm
Uncorrected energy (eV/atom): -5.237

Cell lengths 3.6693, 9.9293, 9.9293 Å; angles 90.00, 90.00, 90.00 degrees
With the nearest neighbours (Å) after each atom.
Fractional coordinates of all 20 atoms:
Ag1 0.0000 0.0000 0.0000  8 Pd 2.85
Ho1 0.0000 0.3211 0.8211  3 Al 2.84-3.02, 6 Pd 3.11-3.14
Pd1 0.5000 0.0660 0.7899  2 Al 2.55, 2 Ag 2.85
Al1 0.0000 0.3811 0.1189  6 Pd 2.48-2.55
Pd2 0.5000 0.7899 0.9340  2 Al 2.55, 2 Ag 2.85
Pd3 0.5000 0.2101 0.0660  2 Al 2.55, 2 Ag 2.85
Ho2 0.0000 0.6789 0.1789  3 Al 2.84-3.02, 6 Pd 3.11-3.14
Pd4 0.5000 0.7101 0.4340  2 Al 2.55, 2 Ag 2.85
Pd5 0.5000 0.9340 0.2101  2 Al 2.55, 2 Ag 2.85
Ho3 0.0000 0.8211 0.6789  3 Al 2.84-3.02, 6 Pd 3.11-3.14
Pd6 0.5000 0.0000 0.5000  4 Al 2.48
Al2 0.0000 0.6189 0.8811  6 Pd 2.48-2.55
Pd7 0.5000 0.2899 0.5660  2 Al 2.55, 2 Ag 2.85
Pd8 0.5000 0.5000 0.0000  4 Al 2.48
Pd9 0.5000 0.4340 0.2899  2 Al 2.55, 2 Ag 2.85
Al3 0.0000 0.1189 0.6189  6 Pd 2.48-2.55
Pd10 0.5000 0.5660 0.7101  2 Al 2.55, 2 Ag 2.85
Al4 0.0000 0.8811 0.3811  6 Pd 2.48-2.55
Ag2 0.0000 0.5000 0.5000  8 Pd 2.85
Ho4 0.0000 0.1789 0.3211  3 Al 2.84-3.02, 6 Pd 3.11-3.14

=====

> Number 3 is which compound?

HoMgAlAg6

=====

> Among the records above, which one has the lowest formation energy from the elements?

Ho2Al2AgPd5

=====

> DOS at the Fermi energy of number 1 (Ho2MgAl3Ag4)?

5.184 states/eV per cell

=====

> Look up the uncorrected energy of the fifth one.

-4.610 eV/atom